{"formula": "NbWI2O", "functional": "GGA+U", "state": "optimized geometry", "lattice": [[5.916, 0.000, 0.000], [0.000, 5.916, 0.000], [0.000, 0.000, 3.869]], "species": ["Nb", "W", "I", "I", "O"], "fractional_positions": [[0.000, 0.000, 0.000], [0.500, 0.500, 0.500], [0.000, 0.500, 0.500], [0.500, 0.000, 0.500], [0.500, 0.500, 0.000]], "polymorph_energy_ev_per_atom": 0.250, "volume_a3_per_fu": 135.4, "n_ef_per_ev_cell": 3.47}